No. 1
VASP calculation (PBE-GGA) on a relaxed structure of Be3Ni.

Cell: 2.3980 2.3980 7.1839 Å, 90.00 90.00 120.00°
Space group P-6m2 (No. 187)
Asymmetric unit:
Be 0.0000 0.0000 0.0000 [1 per cell]
Be 0.3333 0.6667 0.2509 [2 per cell]
Ni 0.0000 0.0000 0.5000 [1 per cell]

Relative energy among the computed polymorphs: 22.3 kJ/mol of atoms
Calculated density: 4.0 g/cm3

***

No. 2
VASP calculation (PBE-GGA) on a relaxed structure of BeNi3.

Cell: 3.4840 3.4840 6.6680 Å, 90.00 90.00 90.00°
Space group I4/mmm (No. 139)
Asymmetric unit:
Be 0.0000 0.0000 0.0000 [2 per cell]
Ni 0.0000 0.0000 0.5000 [2 per cell]
Ni 0.0000 0.5000 0.2500 [4 per cell]

Calculated density: 7.6 g/cm3

***

No. 3
VASP calculation (PBE-GGA) on a relaxed structure of BeNi3.

Cell: 2.4784 3.2550 4.9955 Å, 90.00 90.20 90.00°
Space group P2/m (No. 10)
Asymmetric unit:
Be 0.0000 0.0000 0.0000 [1 per cell]
Ni 0.0000 0.0000 0.5000 [1 per cell]
Ni 0.4984 0.5000 0.2367 [2 per cell]

Calculated density: 7.6 g/cm3

***

no.,energy relative to the elements (eV/atom),D(E_F) (states/eV/atom)
1,-0.067,0.7901
2,-0.159,1.1822
3,-0.153,1.3179